A plane-wave DFT calculation with PBE with a Hubbard U was carried out for a relaxed structure of MnNiO.

Values from the calculation:
DOS(E_F)	0.17	states/eV/atom
space-group type	Cmme
final energy	-5.37	eV/atom

Cell lengths 4.0910, 4.0910, 9.3722 Å; angles 90.00, 90.00, 94.39 degrees
With the nearest neighbours (Å) after each atom.
Element x y z (fractional)
Ni  0.0002  0.0002  0.2500  2 O 2.14-2.15
Ni  0.5002  0.5002  0.2500  2 O 2.14-2.15
Ni  0.9998  0.9998  0.7500  2 O 2.14-2.15
Ni  0.4998  0.4998  0.7500  2 O 2.14-2.15
Mn  0.7499  0.2501  0.5000  4 O 2.16
Mn  0.2501  0.7499  0.5000  4 O 2.16
Mn  0.2499  0.7501  0.0000  4 O 2.16
Mn  0.7501  0.2499  0.0000  4 O 2.16
O  0.7499  0.7499  0.9244  2 Ni 2.14-2.15, 4 Mn 2.16
O  0.2499  0.2499  0.5756  2 Ni 2.14-2.15, 4 Mn 2.16
O  0.7501  0.7501  0.4244  2 Ni 2.14-2.15, 4 Mn 2.16
O  0.2501  0.2501  0.0756  2 Ni 2.14-2.15, 4 Mn 2.16